[1]
A plane-wave DFT calculation with PBE-GGA was carried out for a relaxed structure of Mg2NiPb.

Unit cell a=9.387 b=9.387 c=9.387 alpha=20.11 beta=20.11 gamma=20.11
Fractional coordinates of all 4 atoms:
Mg 0.000 0.000 0.000
Mg 0.236 0.236 0.236
Ni 0.503 0.503 0.503
Pb 0.765 0.765 0.765

Output
Uncorrected energy, eV/atom: -3.0517
DFT formation energy, kJ/mol of atoms: 11
Density of states at the Fermi level, states/eV/cell: 2.16
Space group: No. 160


[2]
A plane-wave DFT calculation with PBE-GGA was carried out for a relaxed structure of Mg2NiPb.

Unit cell a=9.166 b=9.166 c=9.166 alpha=20.61 beta=20.61 gamma=20.61
Fractional coordinates of all 4 atoms:
Mg 0.000 0.000 0.000
Mg 0.200 0.200 0.200
Ni 0.600 0.600 0.600
Pb 0.434 0.434 0.434

Output
Uncorrected energy, eV/atom: -3.0946
DFT formation energy, kJ/mol of atoms: 7
Density of states at the Fermi level, states/eV/cell: 1.77
Space group: No. 160


[3]
A plane-wave DFT calculation with PBE-GGA was carried out for a relaxed structure of Mg2NiPb.

Unit cell a=5.174 b=5.174 c=5.174 alpha=130.95 beta=130.95 gamma=71.89
Fractional coordinates of all 4 atoms:
Mg 0.000 0.000 0.000
Mg 0.750 0.250 0.500
Ni 0.250 0.750 0.500
Pb 0.500 0.500 0.000

Output
Uncorrected energy, eV/atom: -3.1225
DFT formation energy, kJ/mol of atoms: 5
Density of states at the Fermi level, states/eV/cell: 1.91
Space group: No. 119


[4]
A plane-wave DFT calculation with PBE-GGA was carried out for a relaxed structure of Mg2NiPb.

Unit cell a=5.488 b=5.488 c=4.954 alpha=111.63 beta=111.63 gamma=36.24
Fractional coordinates of all 4 atoms:
Mg 0.000 0.000 0.000
Mg 0.207 0.207 0.692
Ni 0.712 0.712 0.123
Pb 0.423 0.423 0.424

Output
Uncorrected energy, eV/atom: -3.1528
DFT formation energy, kJ/mol of atoms: 2
Density of states at the Fermi level, states/eV/cell: 1.56
Space group: No. 8


[5]
A plane-wave DFT calculation with PBE-GGA was carried out for a relaxed structure of Mg2NiPb.

Unit cell a=10.210 b=10.210 c=10.210 alpha=156.34 beta=156.34 gamma=33.71
Fractional coordinates of all 8 atoms:
Mg 0.100 0.625 0.975
Mg 0.375 0.350 0.475
Mg 0.650 0.125 0.025
Mg 0.875 0.900 0.525
Ni 0.000 0.000 0.000
Ni 0.750 0.250 0.500
Pb 0.250 0.750 0.500
Pb 0.500 0.500 0.000

Output
Uncorrected energy, eV/atom: -2.9085
DFT formation energy, kJ/mol of atoms: 25
Density of states at the Fermi level, states/eV/cell: 4.80
Space group: No. 122


[6]
A plane-wave DFT calculation with PBE-GGA was carried out for a relaxed structure of Mg2NiPb.

Unit cell a=5.220 b=5.220 c=5.220 alpha=131.92 beta=131.92 gamma=70.36
Fractional coordinates of all 4 atoms:
Mg 0.250 0.750 0.500
Mg 0.750 0.250 0.500
Ni 0.000 0.000 0.000
Pb 0.500 0.500 0.000

Output
Uncorrected energy, eV/atom: -3.1266
DFT formation energy, kJ/mol of atoms: 4
Density of states at the Fermi level, states/eV/cell: 1.98
Space group: No. 139


[7]
A plane-wave DFT calculation with PBE-GGA was carried out for a relaxed structure of Mg2Ni2Pb.

Unit cell a=6.375 b=6.375 c=6.375 alpha=143.28 beta=143.28 gamma=52.91
Fractional coordinates of all 5 atoms:
Mg 0.250 0.750 0.500
Mg 0.750 0.250 0.500
Ni 0.101 0.101 0.000
Ni 0.899 0.899 0.000
Pb 0.500 0.500 0.000

Output
Uncorrected energy, eV/atom: -3.5716
DFT formation energy, kJ/mol of atoms: 12
Density of states at the Fermi level, states/eV/cell: 3.07
Space group: No. 139


[8]
A plane-wave DFT calculation with PBE-GGA was carried out for a relaxed structure of Mg2NiPb.

Unit cell a=4.273 b=4.273 c=4.208 alpha=90.00 beta=90.00 gamma=90.00
Fractional coordinates of all 4 atoms:
Mg 0.000 0.500 0.000
Mg 0.500 0.000 0.000
Ni 0.000 0.000 0.500
Pb 0.500 0.500 0.500

Output
Uncorrected energy, eV/atom: -3.1357
DFT formation energy, kJ/mol of atoms: 3
Density of states at the Fermi level, states/eV/cell: 1.80
Space group: No. 123


Copy entry 4 word for word.
A plane-wave DFT calculation with PBE-GGA was carried out for a relaxed structure of Mg2NiPb.

Unit cell a=5.488 b=5.488 c=4.954 alpha=111.63 beta=111.63 gamma=36.24
Fractional coordinates of all 4 atoms:
Mg 0.000 0.000 0.000
Mg 0.207 0.207 0.692
Ni 0.712 0.712 0.123
Pb 0.423 0.423 0.424

Output
Uncorrected energy, eV/atom: -3.1528
DFT formation energy, kJ/mol of atoms: 2
Density of states at the Fermi level, states/eV/cell: 1.56
Space group: No. 8


Q: Among the records above, which one has the highest density of states at the Fermi level?
A: number 5